Density functional theory data (PBE-GGA) for a geometry-optimized Pm4Dy structure.

abc: 5.793 5.793 5.793
angles: 90.00 90.00 90.00
Site moments in Bohr magnetons follow the coordinates.
Fractional positions:
1 Pm 0.500 0.500 0.000  0.03
2 Pm 0.500 0.000 0.500  0.03
3 Pm 0.000 0.500 0.500  0.03
4 Dy 0.500 0.500 0.500  0.10
5 Pm 0.000 0.000 0.000  0.01

Properties
E above lowest polymorph = 0.6322 eV per atom
Formation energy from the elements = 644 meV per atom

Density functional theory data (PBE-GGA) for a geometry-optimized Pm6Dy5 structure.

abc: 10.275 8.442 6.087
angles: 73.66 62.46 52.52
Fractional positions:
1 Pm 0.183 0.000 0.416
2 Pm 0.323 0.724 0.896
3 Pm 0.953 0.724 0.104
4 Dy 0.233 0.533 0.500
5 Pm 0.047 0.276 0.896
6 Dy 0.767 0.467 0.500
7 Dy 0.369 0.261 0.000
8 Dy 0.631 0.739 0.000
9 Pm 0.677 0.276 0.104
10 Pm 0.817 0.000 0.584
11 Dy 0.500 0.000 0.500

Properties
Formation energy from the elements = 124 meV per atom

Density functional theory data (PBE-GGA) for a geometry-optimized Pm6Dy structure.

abc: 6.589 6.589 11.273
angles: 90.00 90.00 90.00
Fractional positions:
1 Pm 0.332 0.168 0.639
2 Pm 0.332 0.832 0.361
3 Pm 0.668 0.832 0.639
4 Pm 0.500 0.500 0.863
5 Dy 0.000 0.500 0.000
6 Dy 0.500 0.000 0.000
7 Pm 0.832 0.332 0.639
8 Pm 0.168 0.668 0.639
9 Pm 0.000 0.000 0.137
10 Pm 0.168 0.332 0.361
11 Pm 0.500 0.500 0.137
12 Pm 0.668 0.168 0.361
13 Pm 0.000 0.000 0.863
14 Pm 0.832 0.668 0.361

Properties
E above lowest polymorph = 0.0000 eV per atom
Formation energy from the elements = 243 meV per atom

Density functional theory data (PBE-GGA) for a geometry-optimized Pm3Dy4 structure.

abc: 3.588 3.588 17.954
angles: 95.74 95.74 90.00
Fractional positions:
1 Dy 0.428 0.428 0.857
2 Dy 0.141 0.141 0.283
3 Pm 0.287 0.287 0.574
4 Dy 0.572 0.572 0.143
5 Pm 0.000 0.000 0.000
6 Pm 0.713 0.713 0.426
7 Dy 0.859 0.859 0.717

Properties
Formation energy from the elements = 19 meV per atom

Density functional theory data (PBE-GGA) for a geometry-optimized Pm8Dy3 structure.

abc: 7.272 7.272 7.272
angles: 84.55 84.55 84.55
Fractional positions:
1 Pm 0.693 0.850 0.115
2 Dy 0.500 0.500 0.000
3 Pm 0.307 0.150 0.885
4 Pm 0.115 0.693 0.850
5 Pm 0.150 0.885 0.307
6 Pm 0.386 0.386 0.386
7 Dy 0.500 0.000 0.500
8 Pm 0.850 0.115 0.693
9 Pm 0.885 0.307 0.150
10 Dy 0.000 0.500 0.500
11 Pm 0.614 0.614 0.614

Properties
E above lowest polymorph = 0.3170 eV per atom
Formation energy from the elements = 474 meV per atom

Density functional theory data (PBE-GGA) for a geometry-optimized Pm5Dy7 structure.

abc: 3.604 9.516 12.168
angles: 73.78 81.48 79.08
Fractional positions:
1 Dy 0.500 0.500 0.500
2 Pm 0.305 0.639 0.751
3 Dy 0.972 0.305 0.750
4 Dy 0.334 0.335 0.998
5 Dy 0.638 0.973 0.751
6 Dy 0.362 0.027 0.249
7 Pm 0.834 0.833 0.498
8 Dy 0.028 0.695 0.250
9 Pm 0.695 0.361 0.249
10 Pm 0.000 0.000 0.000
11 Pm 0.166 0.167 0.502
12 Dy 0.666 0.665 0.002

Properties
E above lowest polymorph = 0.0000 eV per atom
Formation energy from the elements = 3 meV per atom

| no. | magnetic moment (μB/f.u.) |
| --- | --- |
| 1 | 0.2 |
| 2 | 0.0 |
| 3 | 0.0 |
| 4 | 0.0 |
| 5 | 0.0 |
| 6 | 0.0 |